A relaxed structure of MnNiO2. Source: Alexandria, functional PBE+U.

a = 3.0891 Å, b = 5.3311 Å, c = 5.3347 Å
α = 80.57°, β = 73.17°, γ = 90.01°
Last column: magnetic moment on the atom in μB.
Positions (direct):
1 Ni 0.0100 0.0246 0.6088  -1.73
2 Ni 0.7593 0.2720 0.1104  0.04
3 Mn 0.5091 0.5174 0.6101  4.62
4 Mn 0.2593 0.7780 0.1104  4.61
5 O 0.6294 0.9118 0.3700  0.04
6 O 0.8845 0.6483 0.8598  0.11
7 O 0.1392 0.3847 0.3498  -0.01
8 O 0.3845 0.1485 0.8607  -0.03

Summary:
Total energy ... -0.2295 hartree per atom
Space group ... Cm (8)
Crystal system ... monoclinic
Density ... 5.84 g cm⁻³